No. 1
The following is a PBE calculation of a geometry-optimized Pr4RhBr5 structure, from Alexandria.

## Properties
calculated volume = 34.1 A^3/atom
energy = -4.9353 eV/atom

a = 4.0925 Å, b = 8.8968 Å, c = 9.8944 Å
α = 104.35°, β = 101.94°, γ = 90.00°
Positions (direct):
1 Pr 0.3463 0.9070 0.6926
2 Pr 0.0000 0.7826 0.9999
3 Pr 0.6537 0.0930 0.3074
4 Pr 0.0000 0.2174 0.0001
5 Rh 0.5000 0.0000 0.0000
6 Br 0.8333 0.6511 0.6665
7 Br 0.8271 0.1547 0.6543
8 Br 0.1729 0.8453 0.3457
9 Br 0.5000 0.5000 0.0000
10 Br 0.1667 0.3489 0.3335

***

No. 2
The following is a PBE calculation of a geometry-optimized RbLiSm2S4 structure, from Alexandria.

## Properties
calculated volume = 25.5 A^3/atom
energy = -5.4363 eV/atom

a = 4.1345 Å, b = 7.2466 Å, c = 14.2301 Å
α = 90.00°, β = 90.00°, γ = 106.57°
Positions (direct):
1 Rb 0.1057 0.2114 0.7500
2 Rb 0.8943 0.7886 0.2500
3 Li 0.8313 0.6626 0.7500
4 Li 0.1687 0.3374 0.2500
5 Sm 0.3660 0.7320 0.5602
6 Sm 0.6340 0.2680 0.0602
7 Sm 0.6340 0.2680 0.4398
8 Sm 0.3660 0.7320 0.9398
9 S 0.2595 0.5191 0.1069
10 S 0.7405 0.4809 0.6069
11 S 0.7405 0.4809 0.8931
12 S 0.2595 0.5191 0.3931
13 S 0.0000 0.0000 0.5000
14 S 0.0000 0.0000 0.0000
15 S 0.4188 0.8376 0.7500
16 S 0.5812 0.1624 0.2500